Entry from the Alexandria database: BaMg2Tl after structural relaxation (PBE).

a b c (Å): 5.100 9.904 10.685
angles (deg): 90.00 90.00 104.92
Sites, in units of the cell vectors:
1 Ba 0.500 0.000 0.500
2 Ba 0.500 0.000 0.000
3 Ba 0.700 0.400 0.250
4 Ba 0.300 0.600 0.750
5 Mg 0.105 0.210 0.750
6 Mg 0.057 0.114 0.250
7 Mg 0.895 0.790 0.250
8 Mg 0.943 0.886 0.750
9 Mg 0.309 0.618 0.401
10 Mg 0.691 0.382 0.599
11 Mg 0.691 0.382 0.901
12 Mg 0.309 0.618 0.099
13 Tl 0.852 0.705 0.522
14 Tl 0.148 0.295 0.022
15 Tl 0.852 0.705 0.978
16 Tl 0.148 0.295 0.478

## Properties
- Polymorph energy (0 for the lowest one): 0.0 kJ/mol of atoms
- Formation energy from the elements: -17.95 kJ per mole of atoms
- DOS(E_F): 2.53 states/eV/f.u.

Entry from the Alexandria database: La3Ga2AgAu6 after structural relaxation (PBE).

a b c (Å): 6.277 6.277 8.543
angles (deg): 90.00 90.00 120.00
Sites, in units of the cell vectors:
1 La 0.333 0.667 0.636
2 La 0.667 0.333 0.364
3 La 0.000 0.000 0.000
4 Ga 0.667 0.333 0.984
5 Ga 0.333 0.667 0.016
6 Ag 0.000 0.000 0.500
7 Au 0.638 0.819 0.273
8 Au 0.181 0.362 0.273
9 Au 0.181 0.819 0.273
10 Au 0.819 0.638 0.727
11 Au 0.362 0.181 0.727
12 Au 0.819 0.181 0.727

## Properties
- Formation energy from the elements: -46.67 kJ per mole of atoms
- DOS(E_F): 6.27 states/eV/f.u.

Entry from the Alexandria database: DyLuNiRh after structural relaxation (PBE).

a b c (Å): 4.769 4.769 4.769
angles (deg): 60.00 60.00 60.00
Sites, in units of the cell vectors:
1 Ni 0.250 0.250 0.250
2 Lu 0.500 0.500 0.500
3 Rh 0.750 0.750 0.750
4 Dy 0.000 0.000 0.000

## Properties
- Formation energy from the elements: -65.70 kJ per mole of atoms
- DOS(E_F): 1.53 states/eV/f.u.

Entry from the Alexandria database: La2GdTl after structural relaxation (PBE).

a b c (Å): 5.676 5.676 5.676
angles (deg): 60.00 60.00 60.00
Sites, in units of the cell vectors:
1 Tl 0.500 0.500 0.500
2 Gd 0.000 0.000 0.000
3 La 0.250 0.250 0.250
4 La 0.750 0.750 0.750

## Properties
- Polymorph energy (0 for the lowest one): 3.2 kJ/mol of atoms
- Formation energy from the elements: -12.20 kJ per mole of atoms
- DOS(E_F): 5.98 states/eV/f.u.